First-principles (PBE) data for an optimized crystal structure of NdCu3Se2ClO8, as listed in Alexandria via LeMat-Bulk.

Calculated values
Magnetization   6.04 μB/cell
ΔE_f (raw)   -1177 meV/atom
Energy   -5.546 eV/atom
Crystal system   orthorhombic

Lattice parameters (Å, degrees): 6.443 9.744 7.171 90.00 90.00 90.00
Space group Pmmn (No. 59, origin choice 2)
Unique sites:
Nd 0.250 0.250 0.233
Cu 0.000 0.000 0.500
Cu 0.250 0.250 0.701
Se 0.250 0.556 0.903
Cl 0.250 0.750 0.345
O 0.040 0.585 0.757
O 0.250 0.110 0.507
O 0.250 0.121 0.919